(1)
DFT (PBE-GGA) results for crystalline TaTcBr2 at its relaxed geometry.

Cell lengths 3.2642, 3.2642, 6.4177 Å; angles 90.00, 90.00, 90.00 degrees
Each line ends with the local moment (μB).
Sites, in units of the cell vectors:
Br  0.0000  0.0000  0.4987  0.01
Br  0.0000  0.0000  0.0013  0.01
Ta  0.5000  0.5000  0.2500  -0.03
Tc  0.5000  0.5000  0.7500  0.59

Computed properties:
density of states at the Fermi level: 4.8 states/eV/cell
magnetization: 0.16 μB per atom
raw formation energy: 0.98 eV per atom

---

(2)
DFT (PBE-GGA) results for crystalline TaTcBr2 at its relaxed geometry.

Cell lengths 3.8369, 3.8369, 9.2177 Å; angles 83.78, 83.78, 49.25 degrees
Sites, in units of the cell vectors:
Br  0.0115  0.0115  0.9291
Br  0.2423  0.2423  0.3289
Tc  0.7647  0.7647  0.5390
Ta  0.4816  0.4816  0.7031

Computed properties:
density of states at the Fermi level: 0.1 states/eV/cell
magnetization: 0.00 μB per atom
raw formation energy: -0.18 eV per atom

---

(3)
DFT (PBE-GGA) results for crystalline TaTcBr2 at its relaxed geometry.

Cell lengths 3.3845, 4.1175, 7.8652 Å; angles 72.38, 90.00, 90.00 degrees
Sites, in units of the cell vectors:
Tc  0.5000  0.8172  0.6480
Br  0.0000  0.9872  0.9104
Br  0.5000  0.2684  0.3442
Ta  0.0000  0.4272  0.5973

Computed properties:
density of states at the Fermi level: 1.7 states/eV/cell
magnetization: 0.00 μB per atom
raw formation energy: 0.07 eV per atom

---

(4)
DFT (PBE-GGA) results for crystalline TaTcBr2 at its relaxed geometry.

Cell lengths 9.5563, 9.5563, 9.5563 Å; angles 20.37, 20.37, 20.37 degrees
Each line ends with the local moment (μB).
Sites, in units of the cell vectors:
Ta  0.4885  0.4885  0.4885  0.01
Tc  0.7623  0.7623  0.7623  0.49
Br  0.2268  0.2268  0.2268  0.02
Br  0.0224  0.0224  0.0224  0.14

Computed properties:
density of states at the Fermi level: 4.5 states/eV/cell
magnetization: 0.18 μB per atom
raw formation energy: -0.10 eV per atom

---

(5)
DFT (PBE-GGA) results for crystalline TaTcBr2 at its relaxed geometry.

Cell lengths 4.5785, 4.5785, 4.5785 Å; angles 60.00, 60.00, 60.00 degrees
Sites, in units of the cell vectors:
Ta  0.5000  0.5000  0.5000
Tc  0.0000  0.0000  0.0000
Br  0.7500  0.7500  0.7500
Br  0.2500  0.2500  0.2500

Computed properties:
density of states at the Fermi level: 4.5 states/eV/cell
magnetization: 0.00 μB per atom
raw formation energy: 0.98 eV per atom

---

(6)
DFT (PBE-GGA) results for crystalline Ta2Tc2Br at its relaxed geometry.

Cell lengths 7.7146, 7.7146, 3.1113 Å; angles 90.00, 90.00, 90.00 degrees
Sites, in units of the cell vectors:
Tc  0.6351  0.8649  0.5000
Tc  0.8649  0.3649  0.5000
Tc  0.3649  0.1351  0.5000
Tc  0.1351  0.6351  0.5000
Ta  0.6463  0.1463  0.0000
Ta  0.3537  0.8537  0.0000
Ta  0.1463  0.3537  0.0000
Ta  0.8537  0.6463  0.0000
Br  0.5000  0.5000  0.0000
Br  0.0000  0.0000  0.0000

Computed properties:
density of states at the Fermi level: 7.4 states/eV/cell
magnetization: 0.00 μB per atom
raw formation energy: 0.39 eV per atom

---

(7)
DFT (PBE-GGA) results for crystalline TaTcBr2 at its relaxed geometry.

Cell lengths 8.0734, 8.0734, 8.0734 Å; angles 156.60, 149.73, 38.61 degrees
Each line ends with the local moment (μB).
Sites, in units of the cell vectors:
Tc  0.2500  0.7500  0.5000  1.42
Br  0.8922  0.8922  0.0000  0.05
Br  0.6078  0.6078  0.0000  0.05
Ta  0.7500  0.2500  0.5000  -0.25

Computed properties:
density of states at the Fermi level: 2.3 states/eV/cell
magnetization: 0.35 μB per atom
raw formation energy: 0.21 eV per atom

---

(8)
DFT (PBE-GGA) results for crystalline TaTcBr2 at its relaxed geometry.

Cell lengths 5.0523, 5.0523, 5.0523 Å; angles 130.04, 130.04, 73.34 degrees
Sites, in units of the cell vectors:
Tc  0.7500  0.2500  0.5000
Br  0.2500  0.7500  0.5000
Br  0.0000  0.0000  0.0000
Ta  0.5000  0.5000  0.0000

Computed properties:
density of states at the Fermi level: 1.8 states/eV/cell
magnetization: 0.00 μB per atom
raw formation energy: 0.96 eV per atom

---

| no. | electronic total energy (eV for the cell shown) |
| --- | --- |
| 1 | -21.64 |
| 2 | -26.29 |
| 3 | -25.28 |
| 4 | -25.98 |
| 5 | -21.65 |
| 6 | -88.36 |
| 7 | -24.71 |
| 8 | -21.73 |